# GGA-PBE MnVTe, relaxed
# Formation energy without anion corrections, eV per atom: -0.09
# Total magnetic moment, μB/f.u.: 0.000
data_MnVTe
_cell_length_a 5.818
_cell_length_b 5.818
_cell_length_c 5.818
_cell_angle_alpha 90.00
_cell_angle_beta 90.00
_cell_angle_gamma 90.00
_space_group_name_H-M_alt 'F -4 3 m'
_space_group_IT_number 216
_space_group_name_Hall 'F -4 2 3'
loop_
_atom_site_label
_atom_site_fract_x
_atom_site_fract_y
_atom_site_fract_z
Mn1 0.000 0.000 0.000
V1 0.250 0.250 0.250
Te1 0.250 0.250 0.750


# GGA-PBE SrInAu3, relaxed
# Total magnetic moment, μB/f.u.: 0.000
# DFT formation energy, eV/atom: -0.2419
data_SrInAu3
_cell_length_a 5.252
_cell_length_b 5.252
_cell_length_c 5.252
_cell_angle_alpha 90.00
_cell_angle_beta 90.00
_cell_angle_gamma 90.00
_space_group_name_H-M_alt 'P m -3 m'
_space_group_IT_number 221
_space_group_name_Hall '-P 4 2 3'
loop_
_atom_site_label
_atom_site_fract_x
_atom_site_fract_y
_atom_site_fract_z
Sr1 0.000 0.000 0.000
In1 0.500 0.500 0.500
Au1 0.000 0.500 0.500


# GGA-PBE Sm2CdAuO5, relaxed
# Formation energy without anion corrections, eV per atom: -1.87
# Total magnetic moment, μB/f.u.: 0.000
data_Sm2CdAuO5
_cell_length_a 6.816
_cell_length_b 6.816
_cell_length_c 5.880
_cell_angle_alpha 90.00
_cell_angle_beta 90.00
_cell_angle_gamma 90.00
_space_group_name_H-M_alt 'P 4/m b m'
_space_group_IT_number 127
_space_group_name_Hall '-P 4 2ab'
loop_
_atom_site_label
_atom_site_fract_x
_atom_site_fract_y
_atom_site_fract_z
Sm1 0.177 0.323 0.000
Cd1 0.000 0.000 0.500
Au1 0.000 0.500 0.500
O1 0.000 0.000 0.000
O2 0.133 0.633 0.236


# GGA-PBE Pr2ErPd3, relaxed
# Total magnetic moment, μB/f.u.: 0.000
# DFT formation energy, eV/atom: -0.6855
data_Pr2ErPd3
_cell_length_a 13.153
_cell_length_b 5.907
_cell_length_c 8.392
_cell_angle_alpha 90.00
_cell_angle_beta 108.62
_cell_angle_gamma 90.00
_space_group_name_H-M_alt 'C 1 2/c 1'
_space_group_IT_number 15
_space_group_name_Hall '-C 2yc'
loop_
_atom_site_label
_atom_site_fract_x
_atom_site_fract_y
_atom_site_fract_z
Pr1 0.168 0.001 0.084
Er1 0.000 0.492 0.250
Pd1 0.000 0.009 0.750
Pd2 0.156 0.498 0.578


# GGA-PBE Pr2HoZn2Sn2, relaxed
# Total magnetic moment, μB/f.u.: 0.000
# DFT formation energy, eV/atom: -0.3635
data_Pr2HoZn2Sn2
_cell_length_a 4.4902
_cell_length_b 4.4902
_cell_length_c 33.3484
_cell_angle_alpha 90.00
_cell_angle_beta 90.00
_cell_angle_gamma 120.00
_space_group_name_H-M_alt 'R -3 m'
_space_group_IT_number 166
_space_group_name_Hall '-R 3 2"'
loop_
_atom_site_label
_atom_site_fract_x
_atom_site_fract_y
_atom_site_fract_z
Pr1 0.0000 0.0000 0.1225
Ho1 0.0000 0.0000 0.0000
Zn1 0.0000 0.0000 0.4081
Sn1 0.0000 0.0000 0.2783


# GGA-PBE In2SnBiRh, relaxed
# Total magnetic moment, μB/f.u.: 0.000
# DFT formation energy, eV/atom: -0.0316
data_In2SnBiRh
_cell_length_a 5.193
_cell_length_b 5.193
_cell_length_c 5.135
_cell_angle_alpha 90.00
_cell_angle_beta 90.00
_cell_angle_gamma 90.00
_space_group_name_H-M_alt 'P 4/m m m'
_space_group_IT_number 123
_space_group_name_Hall '-P 4 2'
loop_
_atom_site_label
_atom_site_fract_x
_atom_site_fract_y
_atom_site_fract_z
In1 0.000 0.500 0.000
Sn1 0.000 0.000 0.500
Bi1 0.500 0.500 0.500
Rh1 0.000 0.000 0.000


# GGA-PBE OsRhI2O, relaxed
# Formation energy without anion corrections, eV per atom: 0.46
# Total magnetic moment, μB/f.u.: 1.120
data_OsRhI2O
_cell_length_a 5.478
_cell_length_b 5.478
_cell_length_c 3.698
_cell_angle_alpha 90.00
_cell_angle_beta 90.00
_cell_angle_gamma 90.00
_space_group_name_H-M_alt 'P 4/m m m'
_space_group_IT_number 123
_space_group_name_Hall '-P 4 2'
loop_
_atom_site_label
_atom_site_fract_x
_atom_site_fract_y
_atom_site_fract_z
Os1 0.000 0.000 0.000
Rh1 0.500 0.500 0.500
I1 0.000 0.500 0.000
O1 0.000 0.000 0.500


# GGA-PBE Si2TcPb, relaxed
# Formation energy without anion corrections, eV per atom: 0.25
# Total magnetic moment, μB/f.u.: 0.000
data_Si2TcPb
_cell_length_a 3.512
_cell_length_b 4.235
_cell_length_c 5.172
_cell_angle_alpha 90.00
_cell_angle_beta 109.75
_cell_angle_gamma 90.00
_space_group_name_H-M_alt 'P 1 m 1'
_space_group_IT_number 6
_space_group_name_Hall 'P -2y'
loop_
_atom_site_label
_atom_site_fract_x
_atom_site_fract_y
_atom_site_fract_z
Si1 0.000 0.000 0.000
Si2 0.439 0.500 0.878
Tc1 0.122 0.500 0.247
Pb1 0.733 0.000 0.469